Record 1
! CrCuAs2, optimized geometry, DFT PBE-GGA; values from VASP
! SG	Fm-3m
! calculated total energy	-88.7	eV for the cell shown
! ΔH_f (0 K)	214.0	meV/atom
&SYSTEM
  ibrav = 0, nat = 16, ntyp = 3
/
ATOMIC_SPECIES
Cr 52.00 Cr.upf
Cu 63.55 Cu.upf
As 74.92 As.upf
CELL_PARAMETERS angstrom
6.283 0.000 0.000
0.000 6.283 0.000
0.000 0.000 6.283
ATOMIC_POSITIONS angstrom
Cr 0.000 0.000 0.000
Cr 0.000 3.142 3.142
Cr 3.142 0.000 3.142
Cr 3.142 3.142 0.000
Cu 0.000 0.000 3.142
Cu 0.000 3.142 0.000
Cu 3.142 0.000 0.000
Cu 3.142 3.142 3.142
As 1.571 1.571 1.571
As 1.571 1.571 4.713
As 1.571 4.713 1.571
As 1.571 4.713 4.713
As 4.713 1.571 1.571
As 4.713 1.571 4.713
As 4.713 4.713 1.571
As 4.713 4.713 4.713

Record 2
! SiRh2C2, optimized geometry, DFT PBE-GGA; values from VASP
! SG	P4/mbm
! polymorph energy (0 for the lowest one)	571.0	meV per atom
! calculated total energy	-66.2	eV for the cell shown
! formation energy (no corrections)	1.10	eV per atom
&SYSTEM
  ibrav = 0, nat = 10, ntyp = 3
/
ATOMIC_SPECIES
Si 28.09 Si.upf
Rh 102.91 Rh.upf
C 12.01 C.upf
CELL_PARAMETERS angstrom
5.654 0.000 0.000
0.000 5.654 0.000
0.000 0.000 3.401
ATOMIC_POSITIONS angstrom
Si 0.000 0.000 0.000
Si 2.827 2.827 0.000
Rh 0.980 1.848 1.701
Rh 1.848 4.675 1.701
Rh 3.807 0.980 1.701
Rh 4.675 3.807 1.701
C 1.005 3.832 0.000
C 1.822 1.005 0.000
C 3.832 4.649 0.000
C 4.649 1.822 0.000